## Na3Ag7Sb4 (PBE-GGA)

Data for an optimized crystal structure of Na3Ag7Sb4. Values from VASP.

Output
- formation energy from raw total energies (kJ/mol of atoms) = -12
- DFT total energy (eV per atom) = -3.012

Structure (Quantum ESPRESSO input):
```
&SYSTEM
  ibrav = 0, nat = 14, ntyp = 3
/
ATOMIC_SPECIES
Ag 107.87 Ag.upf
Na 22.99 Na.upf
Sb 121.76 Sb.upf
ATOMIC_POSITIONS crystal
Ag 0.000 0.000 0.000
Ag 0.505 0.767 0.224
Ag 0.317 0.832 0.534
Ag 0.130 0.631 0.110
Ag 0.870 0.369 0.890
Ag 0.683 0.168 0.466
Ag 0.495 0.233 0.776
Na 0.000 0.500 0.500
Na 0.680 0.813 0.827
Na 0.320 0.187 0.173
Sb 0.319 0.557 0.805
Sb 0.886 0.899 0.330
Sb 0.114 0.101 0.670
Sb 0.681 0.443 0.195
CELL_PARAMETERS angstrom
-0.997 4.174 1.936
-5.331 -1.770 6.796
4.715 0.223 7.674
```

---

## Pu2In6Au3 (PBE-GGA)

Data for an optimized crystal structure of Pu2In6Au3. Values from VASP.

Output
- energy relative to the elements (eV per formula unit) = -2.08
- DFT total energy (eV per atom) = -5.182

Structure (Quantum ESPRESSO input):
```
&SYSTEM
  ibrav = 0, nat = 11, ntyp = 3
/
ATOMIC_SPECIES
Au 196.97 Au.upf
In 114.82 In.upf
Pu 244.00 Pu.upf
ATOMIC_POSITIONS crystal
Au 0.500 0.618 0.000
Au 0.500 0.000 0.618
Au 0.500 0.382 0.382
In 0.500 0.697 0.697
In 0.000 0.202 0.202
In 0.000 0.798 0.000
In 0.500 0.000 0.303
In 0.000 0.000 0.798
In 0.500 0.303 0.000
Pu 0.000 0.667 0.333
Pu 0.000 0.333 0.667
CELL_PARAMETERS angstrom
4.513 0.000 0.000
0.000 7.317 -4.225
0.000 0.000 8.449
```

---

## HgSeN2 (PBE-GGA)

Data for an optimized crystal structure of HgSeN2. Values from VASP.

Output
- energy above the lowest structure with this stoichiometry (eV per atom) = 2.162
- formation energy from raw total energies (kJ/mol of atoms) = 204
- DFT total energy (eV per atom) = -2.996

Structure (Quantum ESPRESSO input):
```
&SYSTEM
  ibrav = 0, nat = 4, ntyp = 3
/
ATOMIC_SPECIES
N 14.01 N.upf
Se 78.96 Se.upf
Hg 200.59 Hg.upf
ATOMIC_POSITIONS crystal
N 0.250 0.250 0.250
N 0.750 0.750 0.750
Se 0.000 0.000 0.000
Hg 0.500 0.500 0.500
CELL_PARAMETERS angstrom
-4.161 -0.065 0.628
-2.615 1.091 -3.111
-2.367 -2.926 -1.883
```

---

## In2Os2Ru (PBE-GGA)

Data for an optimized crystal structure of In2Os2Ru. Values from VASP.

Output
- energy relative to the elements (eV per formula unit) = 4.01
- DFT total energy (eV per atom) = -6.640

Structure (Quantum ESPRESSO input):
```
&SYSTEM
  ibrav = 0, nat = 5, ntyp = 3
/
ATOMIC_SPECIES
In 114.82 In.upf
Os 190.23 Os.upf
Ru 101.07 Ru.upf
ATOMIC_POSITIONS crystal
In 0.596 0.596 0.000
In 0.404 0.404 0.000
Os 0.250 0.750 0.500
Os 0.750 0.250 0.500
Ru 0.000 0.000 0.000
CELL_PARAMETERS angstrom
2.893 -7.679 0.207
2.785 -6.007 4.852
-5.139 5.983 -2.273
```

---

## TcTe2Se (PBE-GGA)

Data for an optimized crystal structure of TcTe2Se. Values from VASP.

Output
- formation energy from raw total energies (kJ/mol of atoms) = 17
- DFT total energy (eV per atom) = -4.857

Structure (Quantum ESPRESSO input):
```
&SYSTEM
  ibrav = 0, nat = 4, ntyp = 3
/
ATOMIC_SPECIES
Te 127.60 Te.upf
Tc 98.00 Tc.upf
Se 78.96 Se.upf
ATOMIC_POSITIONS crystal
Te 0.491 0.491 0.491
Te 0.009 0.009 0.009
Tc 0.750 0.750 0.750
Se 0.250 0.250 0.250
CELL_PARAMETERS angstrom
-5.625 5.037 -3.306
-4.211 3.416 -6.209
-6.803 1.771 -4.304
```

---

## ThAl3Au2 (PBE-GGA)

Data for an optimized crystal structure of ThAl3Au2. Values from VASP.

Output
- energy relative to the elements (eV per formula unit) = -3.61
- DFT total energy (eV per atom) = -4.803

Structure (Quantum ESPRESSO input):
```
&SYSTEM
  ibrav = 0, nat = 18, ntyp = 3
/
ATOMIC_SPECIES
Al 26.98 Al.upf
Th 232.04 Th.upf
Au 196.97 Au.upf
ATOMIC_POSITIONS crystal
Al 0.337 0.673 0.042
Al 0.790 0.580 0.627
Al 0.210 0.420 0.373
Al 0.372 0.744 0.801
Al 0.044 0.087 0.363
Al 0.628 0.256 0.199
Al 0.663 0.327 0.958
Al 0.500 0.000 0.500
Al 0.956 0.913 0.637
Th 0.158 0.315 0.708
Th 0.000 0.000 0.000
Th 0.842 0.685 0.292
Au 0.350 0.701 0.537
Au 0.475 0.949 0.222
Au 0.525 0.051 0.778
Au 0.650 0.299 0.463
Au 0.199 0.398 0.113
Au 0.801 0.602 0.887
CELL_PARAMETERS angstrom
4.287 0.000 0.000
-2.144 8.087 -2.375
0.000 0.315 10.188
```

---

## BaSrAs2 (PBE-GGA)

Data for an optimized crystal structure of BaSrAs2. Values from VASP.

Output
- energy above the lowest structure with this stoichiometry (eV per atom) = 0.413
- energy relative to the elements (eV per formula unit) = -2.26
- DFT total energy (eV per atom) = -3.790

Structure (Quantum ESPRESSO input):
```
&SYSTEM
  ibrav = 0, nat = 4, ntyp = 3
/
ATOMIC_SPECIES
Ba 137.33 Ba.upf
As 74.92 As.upf
Sr 87.62 Sr.upf
ATOMIC_POSITIONS crystal
Ba 0.539 0.539 0.539
As 0.955 0.955 0.955
As 0.299 0.299 0.299
Sr 0.707 0.707 0.707
CELL_PARAMETERS angstrom
8.522 -0.016 -0.010
7.244 4.489 -0.010
7.244 2.055 3.991
```

---

## K4PrNp3Se8 (PBE-GGA)

Data for an optimized crystal structure of K4PrNp3Se8. Values from VASP.

Output
- formation energy from raw total energies (kJ/mol of atoms) = -133
- DFT total energy (eV per atom) = -6.119

Structure (Quantum ESPRESSO input):
```
&SYSTEM
  ibrav = 0, nat = 16, ntyp = 4
/
ATOMIC_SPECIES
Np 237.00 Np.upf
K 39.10 K.upf
Se 78.96 Se.upf
Pr 140.91 Pr.upf
ATOMIC_POSITIONS crystal
Np 0.000 0.500 0.500
Np 0.500 0.500 0.000
Np 0.500 0.500 0.500
K 0.000 0.000 0.000
K 0.000 0.000 0.500
K 0.500 0.000 0.500
K 0.500 0.000 0.000
Se 0.266 0.298 0.532
Se 0.761 0.291 0.521
Se 0.239 0.709 0.969
Se 0.734 0.702 0.468
Se 0.730 0.709 0.969
Se 0.270 0.291 0.031
Se 0.239 0.709 0.479
Se 0.761 0.291 0.031
Pr 0.000 0.500 0.000
CELL_PARAMETERS angstrom
-4.190 -6.991 2.763
5.482 -0.399 7.303
-4.307 7.310 -1.439
```

---

## HfNiRh (PBE-GGA)

Data for an optimized crystal structure of HfNiRh. Values from VASP.

Output
- energy above the lowest structure with this stoichiometry (eV per atom) = 0.018
- energy relative to the elements (eV per formula unit) = -1.59
- DFT total energy (eV per atom) = -8.227

Structure (Quantum ESPRESSO input):
```
&SYSTEM
  ibrav = 0, nat = 6, ntyp = 3
/
ATOMIC_SPECIES
Ni 58.69 Ni.upf
Rh 102.91 Rh.upf
Hf 178.49 Hf.upf
ATOMIC_POSITIONS crystal
Ni 0.500 0.643 0.357
Ni 0.500 0.357 0.643
Rh 0.748 0.752 0.752
Rh 0.252 0.248 0.248
Hf 0.000 0.808 0.192
Hf 0.000 0.192 0.808
CELL_PARAMETERS angstrom
-1.729 -2.382 -3.058
3.543 -2.388 -3.089
-2.480 -4.291 1.799
```

---

## ErMgPdRh (PBE-GGA)

Data for an optimized crystal structure of ErMgPdRh. Values from VASP.

Output
- energy relative to the elements (eV per formula unit) = -3.16
- DFT total energy (eV per atom) = -5.466

Structure (Quantum ESPRESSO input):
```
&SYSTEM
  ibrav = 0, nat = 4, ntyp = 4
/
ATOMIC_SPECIES
Pd 106.42 Pd.upf
Rh 102.91 Rh.upf
Mg 24.30 Mg.upf
Er 167.26 Er.upf
ATOMIC_POSITIONS crystal
Pd 0.000 0.000 0.000
Rh 0.500 0.500 0.500
Mg 0.750 0.750 0.750
Er 0.250 0.250 0.250
CELL_PARAMETERS angstrom
4.676 0.000 0.000
2.338 4.049 0.000
2.338 1.350 3.818
```

---

## CuSn (PBE-GGA)

Data for an optimized crystal structure of CuSn. Values from VASP.

Output
- energy relative to the elements (eV per formula unit) = -0.06
- DFT total energy (eV per atom) = -4.077

Structure (Quantum ESPRESSO input):
```
&SYSTEM
  ibrav = 0, nat = 4, ntyp = 2
/
ATOMIC_SPECIES
Cu 63.55 Cu.upf
Sn 118.71 Sn.upf
ATOMIC_POSITIONS crystal
Cu 0.000 0.000 0.000
Cu 0.000 0.000 0.500
Sn 0.333 0.667 0.250
Sn 0.667 0.333 0.750
CELL_PARAMETERS angstrom
-0.842 -0.804 4.011
2.726 -2.385 -2.080
3.806 3.110 1.422
```

---

## Ac4SmPu3Se8 (PBE-GGA)

Data for an optimized crystal structure of Ac4SmPu3Se8. Values from VASP.

Output
- formation energy from raw total energies (kJ/mol of atoms) = -168
- DFT total energy (eV per atom) = -7.490

Structure (Quantum ESPRESSO input):
```
&SYSTEM
  ibrav = 0, nat = 16, ntyp = 4
/
ATOMIC_SPECIES
Ac 227.00 Ac.upf
Se 78.96 Se.upf
Sm 150.36 Sm.upf
Pu 244.00 Pu.upf
ATOMIC_POSITIONS crystal
Ac 0.000 0.000 0.000
Ac 0.500 0.000 0.000
Ac 0.500 0.000 0.500
Ac 0.000 0.000 0.500
Se 0.243 0.729 0.985
Se 0.757 0.271 0.015
Se 0.257 0.272 0.514
Se 0.244 0.729 0.487
Se 0.743 0.728 0.486
Se 0.258 0.271 0.015
Se 0.756 0.271 0.513
Se 0.742 0.729 0.985
Sm 0.000 0.500 0.000
Pu 0.500 0.500 0.500
Pu 0.000 0.500 0.500
Pu 0.500 0.500 0.000
CELL_PARAMETERS angstrom
8.595 0.000 0.000
0.000 8.672 0.042
-4.297 -4.295 6.084
```

---

Which of these has the highest DFT total energy? HgSeN2

---

Which of these has the lowest DFT total energy? HfNiRh